--- A ---
Below is an optimized crystal structure of BaAcHPt, with properties calculated at the PBE level.

Cell: 5.281 5.281 5.281 Å, 60.00 60.00 60.00°
Positions (direct):
Ac1 0.000 0.000 0.000
Ba1 0.500 0.500 0.500
H1 0.750 0.750 0.750
Pt1 0.250 0.250 0.250

* V: 26.0 A^3/atom
* spin magnetization: 0.00 μB per formula unit

=====

--- B ---
Below is an optimized crystal structure of BaAcHPt, with properties calculated at the PBE level.

Cell: 6.064 6.064 6.361 Å, 90.00 90.00 90.00°
Positions (direct):
H1 0.500 0.500 0.000
H2 0.000 0.000 0.000
Pt1 0.000 0.500 0.499
Pt2 0.500 0.000 0.501
Ac1 0.000 0.000 0.500
Ac2 0.500 0.500 0.500
Ba1 0.000 0.500 0.999
Ba2 0.500 0.000 0.001

* V: 29.2 A^3/atom
* spin magnetization: 0.00 μB per formula unit

=====

The most stable arrangement is B, and the next structure is 0.285 eV/atom less stable.

=====

--- A ---
Below is an optimized crystal structure of BaAc2Hg, with properties calculated at the PBE level.

Cell: 4.057 4.057 12.948 Å, 80.99 80.99 60.00°
Positions (direct):
Ba1 0.000 0.000 0.000
Ac1 0.897 0.897 0.310
Ac2 0.103 0.103 0.690
Hg1 0.500 0.500 0.500

* V: 45.4 A^3/atom
* spin magnetization: 0.00 μB per formula unit

=====

--- B ---
Below is an optimized crystal structure of BaAc2Hg, with properties calculated at the PBE level.

Cell: 4.158 4.158 12.122 Å, 80.13 80.13 60.00°
Positions (direct):
Ac1 0.067 0.067 0.798
Ac2 0.266 0.266 0.201
Hg1 0.667 0.667 0.000
Ba1 0.499 0.499 0.502

* V: 44.5 A^3/atom
* spin magnetization: 0.00 μB per formula unit

=====

The most stable arrangement is B, and the next structure is 0.115 eV/atom less stable.

=====

--- A ---
Below is an optimized crystal structure of BaAcInHg, with properties calculated at the PBE level.

Cell: 5.887 5.887 5.887 Å, 60.00 60.00 60.00°
Positions (direct):
Ac1 0.000 0.000 0.000
Ba1 0.500 0.500 0.500
In1 0.250 0.250 0.250
Hg1 0.750 0.750 0.750

* V: 36.1 A^3/atom
* spin magnetization: 0.00 μB per formula unit

=====

--- B ---
Below is an optimized crystal structure of BaAcInHg, with properties calculated at the PBE level.

Cell: 4.129 4.129 8.455 Å, 90.00 90.00 90.00°
Positions (direct):
Ac1 0.500 0.500 0.102
In1 0.000 0.000 0.336
Hg1 0.000 0.000 0.880
Ba1 0.500 0.500 0.609

* V: 36.0 A^3/atom
* spin magnetization: 0.00 μB per formula unit

=====

The most stable arrangement is B, and the next structure is 0.032 eV/atom less stable.

=====

--- A ---
Below is an optimized crystal structure of BaAcTlHg, with properties calculated at the PBE level.

Cell: 5.897 5.897 5.897 Å, 60.00 60.00 60.00°
Positions (direct):
Ac1 0.250 0.250 0.250
Ba1 0.750 0.750 0.750
Hg1 0.500 0.500 0.500
Tl1 0.000 0.000 0.000

* V: 36.2 A^3/atom
* spin magnetization: 0.00 μB per formula unit

=====

--- B ---
Below is an optimized crystal structure of BaAcTlHg, with properties calculated at the PBE level.

Cell: 4.138 4.138 8.491 Å, 90.00 90.00 90.00°
Positions (direct):
Ac1 0.000 0.000 0.366
Ba1 0.000 0.000 0.851
Tl1 0.500 0.500 0.126
Hg1 0.500 0.500 0.585

* V: 36.4 A^3/atom
* spin magnetization: 0.07 μB per formula unit

=====

The most stable arrangement is B, and the next structure is 0.032 eV/atom less stable.

=====

--- A ---
Below is an optimized crystal structure of BaAcHo2, with properties calculated at the PBE level.

Cell: 3.854 3.854 10.737 Å, 90.00 90.00 90.00°
Positions (direct):
Ac1 0.500 0.500 0.000
Ho1 0.000 0.000 0.770
Ho2 0.000 0.000 0.230
Ba1 0.500 0.500 0.500

* V: 39.9 A^3/atom
* spin magnetization: 0.00 μB per formula unit

=====

--- B ---
Below is an optimized crystal structure of BaAcHo2, with properties calculated at the PBE level.

Cell: 3.724 3.724 13.325 Å, 81.97 81.97 60.00°
Positions (direct):
Ho1 0.092 0.092 0.725
Ho2 0.908 0.908 0.275
Ac1 0.500 0.500 0.500
Ba1 0.000 0.000 0.000

* V: 39.5 A^3/atom
* spin magnetization: 0.05 μB per formula unit

=====

The most stable arrangement is A, and the next structure is 0.093 eV/atom less stable.

=====

--- A ---
Below is an optimized crystal structure of Ba2AcIn, with properties calculated at the PBE level.

Cell: 6.289 6.289 6.289 Å, 60.00 60.00 60.00°
Positions (direct):
Ac1 0.500 0.500 0.500
Ba1 0.250 0.250 0.250
Ba2 0.750 0.750 0.750
In1 0.000 0.000 0.000

* V: 44.0 A^3/atom
* spin magnetization: 0.00 μB per formula unit

=====

--- B ---
Below is an optimized crystal structure of Ba2AcIn, with properties calculated at the PBE level.

Cell: 4.073 4.073 13.587 Å, 81.38 81.38 60.00°
Positions (direct):
In1 0.500 0.500 0.500
Ac1 0.000 0.000 0.000
Ba1 0.100 0.100 0.701
Ba2 0.900 0.900 0.299

* V: 48.1 A^3/atom
* spin magnetization: 0.15 μB per formula unit

=====

--- C ---
Below is an optimized crystal structure of Ba2AcIn, with properties calculated at the PBE level.

Cell: 4.184 4.184 12.691 Å, 80.51 80.51 60.00°
Positions (direct):
Ba1 0.261 0.261 0.217
Ba2 0.073 0.073 0.782
Ac1 0.500 0.500 0.501
In1 0.667 0.667 0.000

* V: 47.2 A^3/atom
* spin magnetization: 0.00 μB per formula unit

=====

The most stable arrangement is C, and the next structure is 0.038 eV/atom less stable.

=====

--- A ---
Below is an optimized crystal structure of Ba2AcIn, with properties calculated at the PBE level.

Cell: 4.145 4.145 10.610 Å, 90.00 90.00 90.00°
Positions (direct):
Ba1 0.000 0.000 0.797
Ba2 0.000 0.000 0.203
In1 0.500 0.500 0.000
Ac1 0.500 0.500 0.500

* V: 45.6 A^3/atom
* spin magnetization: 0.00 μB per formula unit

=====

--- B ---
Below is an optimized crystal structure of Ba2AcIn, with properties calculated at the PBE level.

Cell: 5.802 5.404 5.404 Å, 90.00 90.00 90.00°
Positions (direct):
Ac1 0.500 0.500 0.500
Ba1 0.000 0.500 0.000
Ba2 0.000 0.000 0.500
In1 0.500 0.000 0.000

* V: 42.4 A^3/atom
* spin magnetization: 0.00 μB per formula unit

=====

The most stable arrangement is A, and the next structure is 0.009 eV/atom less stable.

=====

--- A ---
Below is an optimized crystal structure of BaAc2In2, with properties calculated at the PBE level.

Cell: 3.916 3.876 13.069 Å, 81.47 90.00 90.00°
Positions (direct):
In1 0.500 0.597 0.805
In2 0.500 0.403 0.195
Ac1 0.000 0.820 0.360
Ac2 0.000 0.180 0.640
Ba1 0.000 0.000 0.000

* V: 39.2 A^3/atom
* spin magnetization: 0.00 μB per formula unit

=====

--- B ---
Below is an optimized crystal structure of BaAc2In2, with properties calculated at the PBE level.

Cell: 7.678 9.475 10.205 Å, 71.77 67.32 35.83°
Positions (direct):
In1 0.674 0.250 0.248
In2 0.929 0.750 0.758
In3 0.071 0.250 0.242
In4 0.326 0.750 0.752
Ba1 0.831 0.750 0.325
Ba2 0.169 0.250 0.675
Ac1 0.486 0.750 0.025
Ac2 0.514 0.250 0.975
Ac3 0.297 0.750 0.398
Ac4 0.703 0.250 0.602

* V: 40.1 A^3/atom
* spin magnetization: 0.00 μB per formula unit

=====

The most stable arrangement is B, and the next structure is 0.031 eV/atom less stable.

=====

--- A ---
Below is an optimized crystal structure of BaAcMgIn, with properties calculated at the PBE level.

Cell: 5.931 5.931 5.931 Å, 60.00 60.00 60.00°
Positions (direct):
Ba1 0.750 0.750 0.750
In1 0.000 0.000 0.000
Ac1 0.250 0.250 0.250
Mg1 0.500 0.500 0.500

* V: 36.9 A^3/atom
* spin magnetization: 0.00 μB per formula unit

=====

--- B ---
Below is an optimized crystal structure of BaAcMgIn, with properties calculated at the PBE level.

Cell: 4.193 4.193 8.527 Å, 90.00 90.00 90.00°
Positions (direct):
Ac1 0.000 0.000 0.350
Ba1 0.000 0.000 0.864
In1 0.500 0.500 0.130
Mg1 0.500 0.500 0.584

* V: 37.5 A^3/atom
* spin magnetization: 0.00 μB per formula unit

=====

The most stable arrangement is B, and the next structure is 0.017 eV/atom less stable.

=====

--- A ---
Below is an optimized crystal structure of Ba2AcIr, with properties calculated at the PBE level.

Cell: 4.241 4.241 11.970 Å, 79.80 79.80 60.00°
Positions (direct):
Ir1 0.500 0.500 0.500
Ba1 0.885 0.885 0.346
Ba2 0.115 0.115 0.654
Ac1 0.000 0.000 0.000

* V: 45.6 A^3/atom
* spin magnetization: 0.00 μB per formula unit

=====

--- B ---
Below is an optimized crystal structure of Ba2AcIr, with properties calculated at the PBE level.

Cell: 6.119 4.331 10.140 Å, 77.69 72.43 45.07°
Positions (direct):
Ba1 0.743 0.682 0.755
Ba2 0.056 0.684 0.127
Ir1 0.899 0.683 0.441
Ac1 0.399 0.683 0.441

* V: 45.3 A^3/atom
* spin magnetization: 0.00 μB per formula unit

=====

The most stable arrangement is B, and the next structure is 0.538 eV/atom less stable.

=====

--- A ---
Below is an optimized crystal structure of BaAcZnIr, with properties calculated at the PBE level.

Cell: 4.476 4.476 8.455 Å, 90.03 105.32 119.99°
Positions (direct):
Ir1 0.820 0.274 0.094
Zn1 0.509 0.619 0.128
Ac1 0.014 0.871 0.885
Ba1 0.350 0.040 0.390

* V: 34.9 A^3/atom
* spin magnetization: 0.00 μB per formula unit

=====

--- B ---
Below is an optimized crystal structure of BaAcZnIr, with properties calculated at the PBE level.

Cell: 5.415 5.415 5.415 Å, 60.00 60.00 60.00°
Positions (direct):
Ac1 0.750 0.750 0.750
Ir1 0.500 0.500 0.500
Ba1 0.250 0.250 0.250
Zn1 0.000 0.000 0.000

* V: 28.1 A^3/atom
* spin magnetization: 0.00 μB per formula unit

=====

The most stable arrangement is A, and the next structure is 0.241 eV/atom less stable.

=====

--- A ---
Below is an optimized crystal structure of KBaAc, with properties calculated at the PBE level.

Cell: 4.188 4.188 11.051 Å, 90.00 90.00 120.00°
Positions (direct):
Ba1 0.333 0.667 0.647
K1 0.000 0.000 0.009
Ac1 0.667 0.333 0.344

* V: 56.0 A^3/atom
* spin magnetization: 0.00 μB per formula unit

=====

--- B ---
Below is an optimized crystal structure of KBaAc, with properties calculated at the PBE level.

Cell: 7.484 7.881 8.111 Å, 77.35 62.53 61.66°
Positions (direct):
Ba1 0.663 0.000 0.673
Ba2 0.337 0.000 0.327
K1 0.151 0.698 0.000
K2 0.849 0.302 0.000
Ac1 0.250 0.500 0.500
Ac2 0.750 0.500 0.500

* V: 62.3 A^3/atom
* spin magnetization: 0.00 μB per formula unit

=====

The most stable arrangement is A, and the next structure is 0.160 eV/atom less stable.

=====

--- A ---
Below is an optimized crystal structure of BaAcLa, with properties calculated at the PBE level.

Cell: 4.014 4.014 17.361 Å, 90.00 90.00 90.00°
Positions (direct):
Ba1 0.000 0.500 0.602
Ba2 0.500 0.000 0.398
Ac1 0.500 0.000 0.783
Ac2 0.000 0.500 0.217
La1 0.500 0.000 0.071
La2 0.000 0.500 0.929

* V: 46.6 A^3/atom
* spin magnetization: 0.00 μB per formula unit

=====

--- B ---
Below is an optimized crystal structure of BaAcLa, with properties calculated at the PBE level.

Cell: 5.388 4.025 13.496 Å, 107.37 89.98 90.02°
Positions (direct):
Ac1 0.768 0.561 0.858
Ac2 0.268 0.490 0.293
La1 0.268 0.206 0.005
La2 0.768 0.845 0.146
Ba1 0.768 0.172 0.474
Ba2 0.268 0.880 0.677

* V: 46.6 A^3/atom
* spin magnetization: 0.00 μB per formula unit

=====

The most stable arrangement is A, and the next structure is 0.020 eV/atom less stable.

=====

--- A ---
Below is an optimized crystal structure of BaAcLa, with properties calculated at the PBE level.

Cell: 4.001 4.001 9.965 Å, 90.00 90.00 120.00°
Positions (direct):
Ac1 0.333 0.667 0.648
La1 0.667 0.333 0.348
Ba1 0.000 0.000 0.003

* V: 46.0 A^3/atom
* spin magnetization: 0.00 μB per formula unit

=====

--- B ---
Below is an optimized crystal structure of BaAcLa, with properties calculated at the PBE level.

Cell: 3.983 3.983 9.212 Å, 102.49 102.49 90.00°
Positions (direct):
Ac1 0.319 0.319 0.639
Ba1 0.002 0.002 0.004
La1 0.679 0.679 0.358

* V: 46.4 A^3/atom
* spin magnetization: 0.00 μB per formula unit

=====

The most stable arrangement is B, and the next structure is 0.015 eV/atom less stable.